[1]
{
  "formula": "Ce2Pd5Pt",
  "functional": "GGA-PBE",
  "state": "relaxed",
  "formation_energy_mev_per_atom": -858,
  "density_g_cm3": 11.599,
  "space_group": "No. 55",
  "final_energy_ev_per_atom": -6.34,
  "cell": [[5.887, 0.000, 0.000], [0.000, 11.778, 0.000], [0.000, 0.000, 4.160]],
  "species": ["Ce", "Ce", "Ce", "Ce", "Pd", "Pd", "Pd", "Pd", "Pd", "Pd", "Pd", "Pd", "Pd", "Pd", "Pt", "Pt"],
  "fractional_positions": [[0.248, 0.124, 0.000], [0.252, 0.624, 0.000], [0.748, 0.376, 0.000], [0.752, 0.876, 0.000], [0.000, 0.500, 0.500], [0.002, 0.750, 0.500], [0.248, 0.375, 0.000], [0.252, 0.875, 0.000], [0.498, 0.250, 0.500], [0.500, 0.000, 0.500], [0.502, 0.750, 0.500], [0.748, 0.125, 0.000], [0.752, 0.625, 0.000], [0.998, 0.250, 0.500], [0.000, 0.000, 0.500], [0.500, 0.500, 0.500]]
}

---

[2]
{
  "formula": "Ce4Pd6Pt7",
  "functional": "GGA-PBE",
  "state": "relaxed",
  "formation_energy_mev_per_atom": -788,
  "density_g_cm3": 13.353,
  "space_group": "No. 229",
  "final_energy_ev_per_atom": -6.50,
  "cell": [[-4.304, 4.304, 4.304], [4.304, -4.304, 4.304], [4.304, 4.304, -4.304]],
  "species": ["Ce", "Ce", "Ce", "Ce", "Pd", "Pd", "Pd", "Pd", "Pd", "Pd", "Pt", "Pt", "Pt", "Pt", "Pt", "Pt", "Pt"],
  "fractional_positions": [[0.000, 0.000, 0.500], [0.000, 0.500, 0.000], [0.500, 0.000, 0.000], [0.500, 0.500, 0.500], [0.000, 0.301, 0.301], [0.000, 0.699, 0.699], [0.301, 0.000, 0.301], [0.301, 0.301, 0.000], [0.699, 0.000, 0.699], [0.699, 0.699, 0.000], [0.000, 0.000, 0.000], [0.250, 0.500, 0.750], [0.250, 0.750, 0.500], [0.500, 0.250, 0.750], [0.500, 0.750, 0.250], [0.750, 0.250, 0.500], [0.750, 0.500, 0.250]]
}

---

[3]
{
  "formula": "Ce6PdPt3",
  "functional": "GGA-PBE",
  "state": "relaxed",
  "formation_energy_mev_per_atom": -667,
  "density_g_cm3": 9.234,
  "space_group": "No. 14",
  "final_energy_ev_per_atom": -6.56,
  "cell": [[6.775, 0.000, 0.000], [0.000, 7.626, 0.000], [-6.601, 0.000, 10.668]],
  "species": ["Ce", "Ce", "Ce", "Ce", "Ce", "Ce", "Ce", "Ce", "Ce", "Ce", "Ce", "Ce", "Pd", "Pd", "Pt", "Pt", "Pt", "Pt", "Pt", "Pt"],
  "fractional_positions": [[0.080, 0.172, 0.419], [0.080, 0.328, 0.919], [0.260, 0.673, 0.416], [0.260, 0.827, 0.916], [0.419, 0.059, 0.250], [0.419, 0.441, 0.750], [0.581, 0.559, 0.250], [0.581, 0.941, 0.750], [0.740, 0.173, 0.084], [0.740, 0.327, 0.584], [0.920, 0.672, 0.081], [0.920, 0.828, 0.581], [0.000, 0.000, 0.000], [0.000, 0.500, 0.500], [0.186, 0.121, 0.744], [0.186, 0.379, 0.244], [0.500, 0.000, 0.500], [0.500, 0.500, 0.000], [0.814, 0.621, 0.756], [0.814, 0.879, 0.256]]
}

---

[4]
{
  "formula": "Ce2Pd5Pt5",
  "functional": "GGA-PBE",
  "state": "relaxed",
  "formation_energy_mev_per_atom": -638,
  "density_g_cm3": 14.328,
  "space_group": "No. 12",
  "final_energy_ev_per_atom": -6.31,
  "cell": [[6.022, -2.069, 0.000], [6.022, 2.069, 0.000], [-3.860, 0.000, 8.315]],
  "species": ["Ce", "Ce", "Pd", "Pd", "Pd", "Pd", "Pd", "Pt", "Pt", "Pt", "Pt", "Pt"],
  "fractional_positions": [[0.083, 0.083, 0.251], [0.917, 0.917, 0.749], [0.000, 0.000, 0.500], [0.170, 0.170, 0.000], [0.250, 0.250, 0.749], [0.750, 0.750, 0.251], [0.830, 0.830, 0.000], [0.334, 0.334, 0.494], [0.414, 0.414, 0.246], [0.500, 0.500, 0.000], [0.586, 0.586, 0.754], [0.666, 0.666, 0.506]]
}